Entry 1:
The following is a DFT calculation (PBE-GGA) of crystalline NpCo2PH at its relaxed geometry.

space group = Cmcm
theoretical density = 10786 kg/m³
total DFT energy (no corrections) = -7.673 eV per atom
total moment = 3.00 μB/f.u.

Structure (extended XYZ):
```
10
Lattice="1.833 -5.119 0.000 1.833 5.119 0.000 0.000 0.000 6.348" Properties=species:S:1:pos:R:3 pbc="T T T"
Np 1.833 4.508 4.761
Np 1.833 -4.508 1.587
Co 1.833 1.721 3.509
Co 1.833 1.721 6.014
Co 1.833 -1.721 0.335
Co 1.833 -1.721 2.839
P 1.833 2.889 1.587
P 1.833 -2.889 4.761
H 1.833 0.000 0.000
H 1.833 0.000 3.174
```

=====

Entry 2:
The following is a DFT calculation (PBE-GGA) of crystalline NpCoPH2 at its relaxed geometry.

space group = Cmcm
theoretical density = 10374 kg/m³
total DFT energy (no corrections) = -6.859 eV per atom
total moment = 4.57 μB/f.u.

Structure (extended XYZ):
```
10
Lattice="1.880 -5.002 0.000 1.880 5.002 0.000 0.000 0.000 5.598" Properties=species:S:1:pos:R:3 pbc="T T T"
Np 1.880 2.865 4.198
Np 1.880 -2.865 1.399
Co 1.880 0.000 0.000
Co 1.880 0.000 2.799
P 1.880 4.323 1.399
P 1.880 -4.323 4.198
H 1.880 1.578 0.385
H 1.880 1.578 2.413
H 1.880 -1.578 3.184
H 1.880 -1.578 5.212
```

=====

Entry 3:
The following is a DFT calculation (PBE-GGA) of crystalline NpPaCo4H6 at its relaxed geometry.

space group = P6/mmm
theoretical density = 10695 kg/m³
total DFT energy (no corrections) = -6.055 eV per atom
total moment = 5.27 μB/f.u.

Structure (extended XYZ):
```
12
Lattice="4.273 0.000 0.000 -2.137 3.701 0.000 0.000 0.000 6.969" Properties=species:S:1:pos:R:3 pbc="T T T"
Np 0.000 0.000 0.000
Pa 0.000 0.000 3.485
Co 0.000 2.467 2.112
Co 0.000 2.467 4.857
Co 2.137 1.234 2.112
Co 2.137 1.234 4.857
H -1.068 1.850 1.005
H -1.068 1.850 5.965
H 2.137 0.000 1.005
H 2.137 0.000 5.965
H 1.068 1.850 1.005
H 1.068 1.850 5.965
```